Entry 1:
Crystalline Ti2ZnCrIr at its relaxed geometry, computed with GGA-PBE.

Lattice parameters (Å, degrees): 4.584 4.542 4.584 90.00 90.00 90.00
Sites, in units of the cell vectors:
Ti 0.500 0.000 0.000
Ir 0.000 0.500 0.000
Zn 0.000 0.000 0.000
Cr 0.500 0.500 0.500
Ti 0.000 0.000 0.500

Properties
For the spin magnetization, the calculation gives 3.322 Bohr magnetons per cell. As for the total energy: -6.146 eV per atom.

---

Entry 2:
Crystalline ZrTiCrIr at its relaxed geometry, computed with GGA-PBE.

Lattice parameters (Å, degrees): 4.489 4.489 4.489 60.00 60.00 60.00
Sites, in units of the cell vectors:
Zr 0.750 0.750 0.750
Ir 0.500 0.500 0.500
Cr 0.000 0.000 0.000
Ti 0.250 0.250 0.250

Properties
For the spin magnetization, the calculation gives 0.597 Bohr magnetons per cell. As for the total energy: -9.154 eV per atom.

---

Entry 3:
Crystalline TlCrIr2 at its relaxed geometry, computed with GGA-PBE.

Lattice parameters (Å, degrees): 4.949 4.949 4.949 132.64 132.64 69.22
Sites, in units of the cell vectors:
Ir 0.000 0.000 0.000
Tl 0.500 0.500 0.000
Ir 0.750 0.250 0.500
Cr 0.250 0.750 0.500

Properties
For the spin magnetization, the calculation gives 2.466 Bohr magnetons per cell. As for the total energy: -7.054 eV per atom. Its energy above the most stable polymorph in this dataset is 0.70 eV/f.u.